Entry 1:
This record from the Open Quantum Materials Database describes a geometry-optimized TbBeZn structure. The functional is GGA-PBE.

The calculation puts the raw total energy at -0.22133 Ry per atom.

Unit cell a=4.427 b=4.427 c=4.427 alpha=60.00 beta=60.00 gamma=60.00
Fractional coordinates of all 3 atoms:
Tb 0.000 0.000 0.000
Be 0.500 0.500 0.500
Zn 0.750 0.750 0.750


Entry 2:
This record from the Open Quantum Materials Database describes a geometry-optimized BaNiTe2 structure. The functional is GGA-PBE.

The calculation puts the raw total energy at -0.25422 Ry per atom.

Unit cell a=5.444 b=5.444 c=5.444 alpha=60.00 beta=60.00 gamma=60.00
Fractional coordinates of all 4 atoms:
Ba 0.000 0.000 0.000
Ni 0.750 0.750 0.750
Te 0.250 0.250 0.250
Te 0.500 0.500 0.500